DFT (GGA-PBE) results for ZrNbGa3 after structural relaxation.

## Properties
ΔE_f in eV per formula unit: -0.7
Distance to the lowest polymorph of the same formula in meV per atom: 0
Magnetization in μB per formula unit: 0.0

a = 8.885 Å, b = 6.909 Å, c = 5.995 Å
α = 90.00°, β = 90.00°, γ = 90.00°
Positions (direct):
Zr  0.079  0.250  0.056
Zr  0.421  0.750  0.556
Zr  0.579  0.250  0.444
Zr  0.921  0.750  0.944
Nb  0.000  0.000  0.500
Nb  0.000  0.500  0.500
Nb  0.500  0.000  0.000
Nb  0.500  0.500  0.000
Ga  0.164  0.750  0.230
Ga  0.205  0.567  0.834
Ga  0.205  0.933  0.834
Ga  0.295  0.067  0.334
Ga  0.295  0.433  0.334
Ga  0.336  0.250  0.730
Ga  0.664  0.750  0.270
Ga  0.705  0.567  0.666
Ga  0.705  0.933  0.666
Ga  0.795  0.067  0.166
Ga  0.795  0.433  0.166
Ga  0.836  0.250  0.770

=====

DFT (GGA-PBE) results for SrBiAs2 after structural relaxation.

## Properties
ΔE_f in eV per formula unit: -1.5
Magnetization in μB per formula unit: 0.0

a = 4.989 Å, b = 4.989 Å, c = 4.179 Å
α = 90.00°, β = 90.00°, γ = 90.00°
Positions (direct):
Sr  0.000  0.000  0.000
Bi  0.500  0.500  0.000
As  0.000  0.500  0.500
As  0.500  0.000  0.500

=====

What did the second record say?
DFT (GGA-PBE) results for SrBiAs2 after structural relaxation.

## Properties
ΔE_f in eV per formula unit: -1.5
Magnetization in μB per formula unit: 0.0

a = 4.989 Å, b = 4.989 Å, c = 4.179 Å
α = 90.00°, β = 90.00°, γ = 90.00°
Positions (direct):
Sr  0.000  0.000  0.000
Bi  0.500  0.500  0.000
As  0.000  0.500  0.500
As  0.500  0.000  0.500

=====

Please write out number 1 again, unchanged.
DFT (GGA-PBE) results for ZrNbGa3 after structural relaxation.

## Properties
ΔE_f in eV per formula unit: -0.7
Distance to the lowest polymorph of the same formula in meV per atom: 0
Magnetization in μB per formula unit: 0.0

a = 8.885 Å, b = 6.909 Å, c = 5.995 Å
α = 90.00°, β = 90.00°, γ = 90.00°
Positions (direct):
Zr  0.079  0.250  0.056
Zr  0.421  0.750  0.556
Zr  0.579  0.250  0.444
Zr  0.921  0.750  0.944
Nb  0.000  0.000  0.500
Nb  0.000  0.500  0.500
Nb  0.500  0.000  0.000
Nb  0.500  0.500  0.000
Ga  0.164  0.750  0.230
Ga  0.205  0.567  0.834
Ga  0.205  0.933  0.834
Ga  0.295  0.067  0.334
Ga  0.295  0.433  0.334
Ga  0.336  0.250  0.730
Ga  0.664  0.750  0.270
Ga  0.705  0.567  0.666
Ga  0.705  0.933  0.666
Ga  0.795  0.067  0.166
Ga  0.795  0.433  0.166
Ga  0.836  0.250  0.770